Entry 1:
A geometry-optimized Ag3BrN structure. Source: Alexandria via LeMat-Bulk, functional PBE-GGA.

abc: 5.330 5.330 5.330
angles: 90.00 90.00 90.00
Space group Pm-3m (No. 221)
Asymmetric unit:
Ag 0.000 0.000 0.500 (multiplicity 3)
Br 0.000 0.000 0.000 (multiplicity 1)
N 0.500 0.500 0.500 (multiplicity 1)

Fermi-level density of states = 0.53 states/eV/atom
ΔE_f (raw) = 1536 meV per atom
Total magnetic moment = 2.5 Bohr magnetons per cell


Entry 2:
A geometry-optimized AgBrN2 structure. Source: Alexandria via LeMat-Bulk, functional PBE-GGA.

abc: 4.797 4.797 11.102
angles: 90.00 90.00 90.00
Space group I-42d (No. 122)
Asymmetric unit:
Ag 0.000 0.000 0.000 (multiplicity 4)
Br 0.000 0.000 0.500 (multiplicity 4)
N 0.220 0.250 0.625 (multiplicity 8)

Fermi-level density of states = 0.71 states/eV/atom
ΔE_f (raw) = 1993 meV per atom
Total magnetic moment = 0.0 Bohr magnetons per cell


Entry 3:
A geometry-optimized AgBrN2 structure. Source: Alexandria via LeMat-Bulk, functional PBE-GGA.

abc: 5.900 5.900 5.900
angles: 90.00 90.00 90.00
Space group Fm-3m (No. 225)
Asymmetric unit:
Ag 0.000 0.000 0.000 (multiplicity 4)
Br 0.000 0.000 0.500 (multiplicity 4)
N 0.250 0.250 0.250 (multiplicity 8)

Fermi-level density of states = 0.78 states/eV/atom
ΔE_f (raw) = 2481 meV per atom
Total magnetic moment = 0.0 Bohr magnetons per cell


Entry 4:
A geometry-optimized AgP2BrN structure. Source: Alexandria via LeMat-Bulk, functional PBE-GGA.

abc: 4.797 4.797 5.187
angles: 90.00 90.00 90.00
Space group P4/mmm (No. 123)
Asymmetric unit:
Ag 0.000 0.000 0.000 (multiplicity 1)
P 0.000 0.500 0.000 (multiplicity 2)
Br 0.000 0.000 0.500 (multiplicity 1)
N 0.500 0.500 0.500 (multiplicity 1)

Fermi-level density of states = 1.56 states/eV/atom
ΔE_f (raw) = 2229 meV per atom
Total magnetic moment = 1.3 Bohr magnetons per cell


Please write out number 3 again, unchanged.
A geometry-optimized AgBrN2 structure. Source: Alexandria via LeMat-Bulk, functional PBE-GGA.

abc: 5.900 5.900 5.900
angles: 90.00 90.00 90.00
Space group Fm-3m (No. 225)
Asymmetric unit:
Ag 0.000 0.000 0.000 (multiplicity 4)
Br 0.000 0.000 0.500 (multiplicity 4)
N 0.250 0.250 0.250 (multiplicity 8)

Fermi-level density of states = 0.78 states/eV/atom
ΔE_f (raw) = 2481 meV per atom
Total magnetic moment = 0.0 Bohr magnetons per cell